A plane-wave DFT calculation with PBE-GGA was carried out for a relaxed structure of KSb2TeSe.

a = 5.9696 Å, b = 5.9696 Å, c = 5.8809 Å
α = 90.00°, β = 90.00°, γ = 90.00°
Sites, in units of the cell vectors:
Sb  0.0000  0.5000  0.0000
Sb  0.5000  0.0000  0.0000
K  0.0000  0.0000  0.0000
Te  0.0000  0.0000  0.5000
Se  0.5000  0.5000  0.5000

Results
magnetization: 2.4 μB per cell
excess energy over the best structure of this formula in the dataset: 1181 meV per atom
ΔE_f (raw): 1.334 eV per atom
symmetry: No. 123
E: -1.860 eV/atom
density of states at the Fermi level: 1.48 states/eV per atom